# Nd2Ga5Pt3 (GGA-PBE, relaxed)
data_Nd2Ga5Pt3
_symmetry_space_group_name_H-M 'C m c 21'
_symmetry_Int_Tables_number 36
_cell_length_a 4.415
_cell_length_b 25.196
_cell_length_c 6.883
_cell_angle_alpha 90.00
_cell_angle_beta 90.00
_cell_angle_gamma 90.00
loop_
_symmetry_equiv_pos_as_xyz
'x,y,z'
'-x,-y,z+1/2'
'-x,y,z'
'x,-y,z+1/2'
'x+1/2,y+1/2,z'
'-x+1/2,-y+1/2,z+1/2'
'-x+1/2,y+1/2,z'
'x+1/2,-y+1/2,z+1/2'
loop_
_atom_site_label
_atom_site_type_symbol
_atom_site_fract_x
_atom_site_fract_y
_atom_site_fract_z
Nd1 Nd 0.000 0.017 0.000
Nd2 Nd 0.000 0.325 0.023
Ga1 Ga 0.000 0.104 0.342
Ga2 Ga 0.000 0.206 0.830
Ga3 Ga 0.000 0.208 0.233
Ga4 Ga 0.000 0.377 0.495
Ga5 Ga 0.000 0.448 0.177
Pt1 Pt 0.000 0.107 0.734
Pt2 Pt 0.000 0.275 0.533
Pt3 Pt 0.000 0.447 0.786
# - Offset from the most stable computed form: 35 meV per atom
# - Theoretical density: 10.6 g cm⁻³
# - Formation energy from the elements: -0.88 eV/atom